Below is a relaxed structure of La2Pm6PrDy, with properties calculated at the GGA-PBE level.

Computed properties:
As for the space group: C2/c (15). As for the density of states at the Fermi level: 15.179 states/eV/f.u. The energy comes out at -93.271 eV/cell.

a b c (Å): 8.929 8.929 10.095
angles (deg): 95.04 95.04 117.86
Element x y z (fractional)
La 0.194 0.291 0.041
La 0.291 0.194 0.541
La 0.709 0.806 0.459
La 0.806 0.709 0.959
Pm 0.018 0.577 0.189
Pm 0.120 0.738 0.556
Pm 0.262 0.880 0.944
Pm 0.299 0.506 0.380
Pm 0.423 0.982 0.311
Pm 0.494 0.701 0.120
Pm 0.506 0.299 0.880
Pm 0.577 0.018 0.689
Pm 0.701 0.494 0.620
Pm 0.738 0.120 0.056
Pm 0.880 0.262 0.444
Pm 0.982 0.423 0.811
Pr 0.012 0.988 0.250
Pr 0.988 0.012 0.750
Dy 0.406 0.594 0.750
Dy 0.594 0.406 0.250